VASP calculation (meta-GGA SCAN) on TaZnTcP2 at its PBEsol-relaxed geometry.

## Properties
D(E_F): 0.8100 states/eV/atom
Formation energy: 4.10 eV per formula unit

abc: 4.409 4.409 5.046
angles: 90.00 90.00 90.00
Atoms (fractional coordinates):
1 P 0.000 0.500 0.000
2 P 0.500 0.000 0.000
3 Zn 0.500 0.500 0.500
4 Tc 0.000 0.000 0.000
5 Ta 0.000 0.000 0.500

VASP calculation (meta-GGA SCAN) on Tl2CuC2O6 at its PBEsol-relaxed geometry.

## Properties
E_form (uncorrected): -1224 meV per atom

abc: 7.472 9.109 9.764
angles: 90.00 90.00 110.90
Last column: magnetic moment on the atom in μB.
Atoms (fractional coordinates):
1 Tl 0.737 0.645 0.890  0.00
2 Tl 0.881 0.483 0.202  0.00
3 Tl 0.119 0.017 0.702  0.00
4 Tl 0.263 0.855 0.390  0.00
5 Tl 0.881 0.983 0.298  0.00
6 Tl 0.737 0.145 0.610  0.00
7 Tl 0.263 0.355 0.110  0.00
8 Tl 0.119 0.517 0.798  0.00
9 Cu 0.462 0.924 0.891  0.69
10 Cu 0.462 0.424 0.609  0.69
11 Cu 0.538 0.076 0.109  0.69
12 Cu 0.538 0.576 0.391  0.69
13 C 0.479 0.251 0.884  0.00
14 C 0.479 0.751 0.616  0.00
15 C 0.135 0.906 0.049  0.00
16 C 0.865 0.094 0.951  0.00
17 C 0.135 0.406 0.451  0.00
18 C 0.865 0.594 0.549  0.00
19 C 0.521 0.749 0.116  0.00
20 C 0.521 0.249 0.384  0.00
21 O 0.535 0.763 0.489  0.07
22 O 0.542 0.875 0.187  0.06
23 O 0.259 0.006 0.129  0.07
24 O 0.542 0.375 0.313  0.06
25 O 0.442 0.865 0.671  0.02
26 O 0.442 0.365 0.829  0.02
27 O 0.465 0.737 0.989  0.07
28 O 0.259 0.506 0.371  0.07
29 O 0.535 0.263 0.011  0.07
30 O 0.458 0.125 0.813  0.06
31 O 0.187 0.863 0.932  0.07
32 O 0.813 0.137 0.068  0.07
33 O 0.813 0.637 0.432  0.07
34 O 0.960 0.348 0.413  0.02
35 O 0.187 0.363 0.568  0.07
36 O 0.558 0.635 0.171  0.02
37 O 0.458 0.625 0.687  0.06
38 O 0.741 0.994 0.871  0.07
39 O 0.040 0.152 0.913  0.02
40 O 0.960 0.848 0.087  0.02
41 O 0.741 0.494 0.629  0.07
42 O 0.465 0.237 0.511  0.07
43 O 0.558 0.135 0.329  0.02
44 O 0.040 0.652 0.587  0.02

VASP calculation (meta-GGA SCAN) on KCd2As at its PBEsol-relaxed geometry.

## Properties
D(E_F): 0.4819 states/eV/atom
Formation energy: 0.64 eV per formula unit

abc: 2.915 6.135 6.261
angles: 119.34 90.00 90.00
Atoms (fractional coordinates):
1 As 0.500 0.500 0.000
2 Cd 0.000 0.000 0.500
3 Cd 0.000 0.500 0.500
4 K 0.500 0.000 0.000

VASP calculation (meta-GGA SCAN) on GePd3Br at its PBEsol-relaxed geometry.

## Properties
E_form (uncorrected): 686 meV per atom
D(E_F): 0.4712 states/eV/atom

abc: 4.686 4.686 4.686
angles: 90.00 90.00 90.00
Atoms (fractional coordinates):
1 Ge 0.500 0.500 0.500
2 Br 0.000 0.000 0.000
3 Pd 0.000 0.500 0.000
4 Pd 0.000 0.000 0.500
5 Pd 0.500 0.000 0.000

VASP calculation (meta-GGA SCAN) on Ni2HOs at its PBEsol-relaxed geometry.

## Properties
DFT total energy: -25.93 eV/atom
D(E_F): 0.9514 states/eV/atom

abc: 3.930 3.930 3.930
angles: 60.00 60.00 60.00
Last column: magnetic moment on the atom in μB.
Atoms (fractional coordinates):
1 Ni 0.250 0.250 0.250  0.35
2 Ni 0.750 0.750 0.750  0.35
3 Os 0.500 0.500 0.500  0.99
4 H 0.000 0.000 0.000  0.05

VASP calculation (meta-GGA SCAN) on CeAl3Cu at its PBEsol-relaxed geometry.

## Properties
D(E_F): 0.7651 states/eV/atom
E above lowest polymorph: 0.45 eV/f.u.
Formation energy: -1.98 eV per formula unit

abc: 4.137 4.137 6.151
angles: 109.65 109.65 90.00
Last column: magnetic moment on the atom in μB.
Atoms (fractional coordinates):
1 Cu 0.750 0.250 0.500  0.00
2 Al 0.384 0.384 0.768  0.00
3 Al 0.616 0.616 0.232  0.00
4 Al 0.250 0.750 0.500  -0.01
5 Ce 0.000 0.000 0.000  0.80

VASP calculation (meta-GGA SCAN) on BaMg3B at its PBEsol-relaxed geometry.

## Properties
D(E_F): 1.1379 states/eV/atom
Formation energy: 10.61 eV per formula unit

abc: 6.476 6.476 6.476
angles: 90.00 90.00 90.00
Last column: magnetic moment on the atom in μB.
Atoms (fractional coordinates):
1 Mg 0.000 0.500 0.000  0.01
2 Mg 0.000 0.000 0.500  0.01
3 Mg 0.500 0.000 0.000  0.01
4 B 0.500 0.500 0.500  0.38
5 Ba 0.000 0.000 0.000  0.22

VASP calculation (meta-GGA SCAN) on Li2MgTi at its PBEsol-relaxed geometry.

## Properties
D(E_F): 0.5833 states/eV/atom
Formation energy: 1.90 eV per formula unit

abc: 5.769 5.907 5.907
angles: 76.21 60.77 60.77
Last column: magnetic moment on the atom in μB.
Atoms (fractional coordinates):
1 Mg 0.500 0.000 0.000  0.03
2 Mg 0.250 0.500 0.500  0.03
3 Li 0.619 0.006 0.506  0.03
4 Li 0.131 0.994 0.494  0.03
5 Li 0.375 0.494 0.006  0.03
6 Li 0.875 0.506 0.994  0.03
7 Ti 0.000 0.000 0.000  1.88
8 Ti 0.750 0.500 0.500  1.88

VASP calculation (meta-GGA SCAN) on Na2PbAu2 at its PBEsol-relaxed geometry.

## Properties
D(E_F): 0.3342 states/eV/atom
Formation energy: -1.66 eV per formula unit

abc: 4.023 7.526 7.526
angles: 90.00 90.00 90.00
Atoms (fractional coordinates):
1 Pb 0.000 0.000 0.000
2 Pb 0.000 0.500 0.500
3 Na 0.500 0.165 0.665
4 Na 0.500 0.665 0.835
5 Na 0.500 0.835 0.335
6 Na 0.500 0.335 0.165
7 Au 0.000 0.369 0.869
8 Au 0.000 0.869 0.631
9 Au 0.000 0.631 0.131
10 Au 0.000 0.131 0.369

VASP calculation (meta-GGA SCAN) on CuSiCBr2 at its PBEsol-relaxed geometry.

## Properties
E_form (uncorrected): 1581 meV per atom
D(E_F): 0.6975 states/eV/atom

abc: 4.441 5.086 5.086
angles: 90.00 90.00 90.00
Last column: magnetic moment on the atom in μB.
Atoms (fractional coordinates):
1 C 0.500 0.500 0.500  0.94
2 Si 0.000 0.000 0.000  0.00
3 Cu 0.500 0.000 0.000  -0.01
4 Br 0.000 0.000 0.500  0.02
5 Br 0.000 0.500 0.000  0.02

| no. | V (Å³ per cell) |
| --- | --- |
| 1 | 98 |
| 2 | 621 |
| 3 | 98 |
| 4 | 103 |
| 5 | 43 |
| 6 | 93 |
| 7 | 272 |
| 8 | 153 |
| 9 | 228 |
| 10 | 115 |